Computed, not measured: a relaxed RbCdTePPd crystal at the GGA-PBE level of DFT.

The structure in CIF format:
```
data_RbCdTePPd
_symmetry_space_group_name_H-M 'P 1'
_symmetry_Int_Tables_number 1
_cell_length_a 9.851
_cell_length_b 3.741
_cell_length_c 7.729
_cell_angle_alpha 90.00
_cell_angle_beta 103.06
_cell_angle_gamma 90.00
loop_
_symmetry_equiv_pos_as_xyz
'x,y,z'
loop_
_atom_site_label
_atom_site_fract_x
_atom_site_fract_y
_atom_site_fract_z
Rb1 0.359 0.000 0.808
Rb2 0.359 0.500 0.308
Pd1 0.059 0.000 0.367
Pd2 0.059 0.500 0.867
P1 0.093 0.500 0.555
P2 0.093 0.000 0.055
Cd1 0.825 0.500 0.440
Cd2 0.825 0.000 0.940
Te1 0.649 0.000 0.590
Te2 0.649 0.500 0.090
```

## Properties
E: -3.482 eV/atom
symmetry: Cm (8)
volume: 27.75 A^3/atom
energy relative to the elements, uncorrected: -356 meV per atom
density of states at the Fermi level: 0.457 states/eV/atom